Entry from Alexandria via LeMat-Bulk: crystalline Zr2TaZn at its relaxed geometry (PBE-GGA).

## Properties
Volume ... 19.85 Å³ per atom
Fermi-level density of states ... 1.33 states/eV per atom
Energy ... -7.438 eV/atom
Formation energy ... 0.12 eV/atom
Space-group type ... C2/m (12)

abc: 5.1876 5.1876 5.2834
angles: 78.63 78.63 34.80
With the nearest neighbours (Å) after each atom.
Positions (direct):
Zr 0.4899 0.4899 0.5092  3 Zn 2.90-3.10, 3 Ta 2.98-3.08, 6 Zr 3.02-3.12
Zr 0.0101 0.0101 0.9908  3 Zn 2.90-3.10, 3 Ta 2.98-3.08, 6 Zr 3.02-3.12
Zn 0.7500 0.7500 0.7500  6 Zr 2.90-3.10, 4 Ta 3.06, 2 Zn 3.10
Ta 0.2500 0.2500 0.2500  6 Zr 2.98-3.08, 4 Zn 3.06, 2 Ta 3.10